Entry 1:
# Pm3MgTl4

An optimized crystal structure of Pm3MgTl4 (PBE, Alexandria via LeMat-Bulk).

Cell: 8.594 8.594 8.594 Å, 155.71 112.58 72.81°
Fractional coordinates of all 8 atoms:
Pm (0.000, 0.000, 0.000)
Pm (0.280, 0.780, 0.500)
Pm (0.720, 0.220, 0.500)
Mg (0.500, 0.500, 0.000)
Tl (0.120, 0.377, 0.743)
Tl (0.366, 0.623, 0.743)
Tl (0.634, 0.377, 0.257)
Tl (0.880, 0.623, 0.257)

## Properties
- D(E_F): 5.61 states/eV/f.u.
- Distance to the lowest polymorph of the same formula: 0.75 eV per formula unit
- DFT formation energy: -209 meV/atom
- V: 29.820 Å³/atom

Entry 2:
# PmMg6Tl6

An optimized crystal structure of PmMg6Tl6 (PBE, Alexandria via LeMat-Bulk).

Cell: 7.941 7.941 7.941 Å, 134.29 103.67 93.75°
Fractional coordinates of all 13 atoms:
Pm (0.000, 0.000, 0.000)
Mg (0.000, 0.000, 0.500)
Mg (0.000, 0.500, 0.000)
Mg (0.246, 0.500, 0.746)
Mg (0.500, 0.000, 0.000)
Mg (0.500, 0.500, 0.500)
Mg (0.754, 0.500, 0.254)
Tl (0.164, 0.664, 0.500)
Tl (0.337, 0.337, 0.000)
Tl (0.342, 0.000, 0.342)
Tl (0.658, 0.000, 0.658)
Tl (0.663, 0.663, 0.000)
Tl (0.836, 0.336, 0.500)

## Properties
- D(E_F): 5.62 states/eV/f.u.
- DFT formation energy: -99 meV/atom
- V: 25.281 Å³/atom

Entry 3:
# PmMg3Tl2

An optimized crystal structure of PmMg3Tl2 (PBE, Alexandria via LeMat-Bulk).

Cell: 9.013 9.013 7.844 Å, 111.09 111.09 31.06°
Fractional coordinates of all 12 atoms:
Pm (0.117, 0.117, 0.180)
Pm (0.883, 0.883, 0.820)
Mg (0.071, 0.071, 0.700)
Mg (0.302, 0.302, 0.081)
Mg (0.370, 0.370, 0.495)
Mg (0.630, 0.630, 0.505)
Mg (0.698, 0.698, 0.919)
Mg (0.929, 0.929, 0.300)
Tl (0.238, 0.238, 0.672)
Tl (0.482, 0.482, 0.175)
Tl (0.518, 0.518, 0.825)
Tl (0.762, 0.762, 0.328)

## Properties
- D(E_F): 2.43 states/eV/f.u.
- DFT formation energy: -173 meV/atom
- V: 25.417 Å³/atom

Question: The lowest V belongs to which entry?
Answer: PmMg6Tl6